# MgSc2BiMo | the Alexandria database | GGA-PBE | relaxed
data_MgSc2BiMo
_chemical_formula_sum 'Mg1 Sc2 Bi1 Mo1'
_cell_length_a 5.130
_cell_length_b 5.130
_cell_length_c 4.813
_cell_angle_alpha 90.00
_cell_angle_beta 90.00
_cell_angle_gamma 90.00
_symmetry_space_group_name_H-M 'P 4/m m m'
_symmetry_Int_Tables_number 123
_symmetry_space_group_name_Hall '-P 4 2'
loop_
_atom_site_label
_atom_site_fract_x
_atom_site_fract_y
_atom_site_fract_z
_atom_site_occupancy
Mg1 0.000 0.000 0.000 1
Sc1 0.000 0.500 0.000 1
Bi1 0.500 0.500 0.500 1
Mo1 0.000 0.000 0.500 1
# **D(E_F)**: 4.42 states/eV/f.u.
# **Electronic total energy**: -0.363 Ry per atom

# CsRb2Si | the Alexandria database | GGA-PBE | relaxed
data_CsRb2Si
_chemical_formula_sum 'Cs4 Rb8 Si4'
_cell_length_a 5.905
_cell_length_b 5.905
_cell_length_c 26.017
_cell_angle_alpha 90.00
_cell_angle_beta 90.00
_cell_angle_gamma 90.00
_symmetry_space_group_name_H-M 'I -4 2 d'
_symmetry_Int_Tables_number 122
_symmetry_space_group_name_Hall 'I -4 2bw'
loop_
_atom_site_label
_atom_site_fract_x
_atom_site_fract_y
_atom_site_fract_z
_atom_site_occupancy
Cs1 0.000 0.000 0.000 1
Rb1 0.202 0.250 0.625 1
Si1 0.000 0.000 0.500 1
# **D(E_F)**: 2.33 states/eV/f.u.
# **Formation energy without anion corrections**: 2.0 eV per formula unit

# Pr8SiP3Se4 | the Alexandria database | GGA-PBE | relaxed
data_Pr8SiP3Se4
_chemical_formula_sum 'Pr24 Si3 P9 Se12'
_cell_length_a 8.4734
_cell_length_b 8.4734
_cell_length_c 21.0784
_cell_angle_alpha 90.00
_cell_angle_beta 90.00
_cell_angle_gamma 120.00
_symmetry_space_group_name_H-M 'R -3 m'
_symmetry_Int_Tables_number 166
_symmetry_space_group_name_Hall '-R 3 2"'
loop_
_atom_site_label
_atom_site_fract_x
_atom_site_fract_y
_atom_site_fract_z
_atom_site_occupancy
Pr1 0.0000 0.0000 0.2437 1
Pr2 0.0009 0.5005 0.7553 1
Si1 0.0000 0.0000 0.5000 1
P1 0.0000 0.5000 0.5000 1
Se1 0.0000 0.0000 0.0000 1
Se2 0.0000 0.5000 0.0000 1
# **D(E_F)**: 5.03 states/eV/f.u.
# **Formation energy without anion corrections**: -26.5 eV per formula unit

# PPbCl2 | the Alexandria database | GGA-PBE | relaxed
data_PPbCl2
_chemical_formula_sum 'P4 Pb4 Cl8'
_cell_length_a 4.637
_cell_length_b 4.637
_cell_length_c 18.628
_cell_angle_alpha 90.00
_cell_angle_beta 90.00
_cell_angle_gamma 90.00
_symmetry_space_group_name_H-M 'I -4 2 d'
_symmetry_Int_Tables_number 122
_symmetry_space_group_name_Hall 'I -4 2bw'
loop_
_atom_site_label
_atom_site_fract_x
_atom_site_fract_y
_atom_site_fract_z
_atom_site_occupancy
P1 0.000 0.000 0.000 1
Pb1 0.000 0.000 0.500 1
Cl1 0.222 0.250 0.125 1
# **D(E_F)**: 3.01 states/eV/f.u.
# **Formation energy without anion corrections**: -0.1 eV per formula unit
# **Energy above the most stable polymorph in this dataset**: 0.354 eV per atom

# BeAg2GeS4 | the Alexandria database | GGA-PBE | relaxed
data_BeAg2GeS4
_chemical_formula_sum 'Be2 Ag4 Ge2 S8'
_cell_length_a 5.684
_cell_length_b 5.684
_cell_length_c 9.995
_cell_angle_alpha 90.00
_cell_angle_beta 90.00
_cell_angle_gamma 90.00
_symmetry_space_group_name_H-M 'I -4'
_symmetry_Int_Tables_number 82
loop_
_symmetry_equiv_pos_as_xyz
'x,y,z'
'y,-x,-z'
'-x,-y,z'
'-y,x,-z'
'x+1/2,y+1/2,z+1/2'
'y+1/2,-x+1/2,-z+1/2'
'-x+1/2,-y+1/2,z+1/2'
'-y+1/2,x+1/2,-z+1/2'
loop_
_atom_site_label
_atom_site_fract_x
_atom_site_fract_y
_atom_site_fract_z
_atom_site_occupancy
Be1 0.000 0.000 0.000 1
Ag1 0.000 0.000 0.500 1
Ag2 0.000 0.500 0.750 1
Ge1 0.000 0.500 0.250 1
S1 0.195 0.759 0.119 1
# **Formation energy without anion corrections**: -3.4 eV per formula unit

# TaTlI2O | the Alexandria database | GGA-PBE | relaxed
data_TaTlI2O
_chemical_formula_sum 'Ta1 Tl1 I2 O1'
_cell_length_a 5.973
_cell_length_b 5.973
_cell_length_c 3.940
_cell_angle_alpha 90.00
_cell_angle_beta 90.00
_cell_angle_gamma 90.00
_symmetry_space_group_name_H-M 'P 4/m m m'
_symmetry_Int_Tables_number 123
_symmetry_space_group_name_Hall '-P 4 2'
loop_
_atom_site_label
_atom_site_fract_x
_atom_site_fract_y
_atom_site_fract_z
_atom_site_occupancy
Ta1 0.000 0.000 0.000 1
Tl1 0.500 0.500 0.500 1
I1 0.000 0.500 0.000 1
O1 0.000 0.000 0.500 1
# **D(E_F)**: 2.66 states/eV/f.u.
# **Formation energy without anion corrections**: -3.7 eV per formula unit
# **Energy above the most stable polymorph in this dataset**: 0.000 eV per atom